(1)
Density functional theory data (PBE) for ScPa3Sb4 after structural relaxation.

Cell and atoms, written as POSCAR:
```
ScPa3Sb4
1.0
8.6662 0.0000 0.0000
0.0000 12.2204 0.0000
0.0000 0.0000 4.3109
Sc Pa Sb
2 6 8
Cartesian
0.0000 0.0000 0.0000
4.3331 6.1102 0.0000
0.0000 6.1102 0.0000
2.1666 3.0551 2.1555
2.1666 9.1653 2.1555
4.3331 0.0000 0.0000
6.4997 3.0551 2.1555
6.4997 9.1653 2.1555
0.0000 2.9727 0.0000
0.0000 9.2477 0.0000
2.0671 0.0000 2.1555
2.2660 6.1102 2.1555
4.3331 3.1375 0.0000
4.3331 9.0829 0.0000
6.4002 6.1102 2.1555
6.5991 0.0000 2.1555
```

Properties
**DFT total energy**: -6.96 eV/atom
**Fermi-level density of states**: 1.7478 states/eV per atom
**ΔE_f (raw)**: -0.54 eV/atom
**Crystal system**: orthorhombic

=====

(2)
Density functional theory data (PBE) for NaAc2Tl5 after structural relaxation.

Cell and atoms, written as POSCAR:
```
NaAc2Tl5
1.0
5.7103 0.0000 0.0000
0.0000 5.7103 0.0000
0.0000 0.0000 15.5736
Na Ac Tl
2 4 10
Cartesian
0.0000 0.0000 0.0000
2.8552 2.8552 7.7868
0.0000 0.0000 4.0276
0.0000 0.0000 11.5461
2.8552 2.8552 3.7593
2.8552 2.8552 11.8144
0.0000 0.0000 7.7868
0.0000 2.8552 1.7215
0.0000 2.8552 6.0653
0.0000 2.8552 9.5083
0.0000 2.8552 13.8521
2.8552 0.0000 1.7215
2.8552 0.0000 6.0653
2.8552 0.0000 9.5083
2.8552 0.0000 13.8521
2.8552 2.8552 0.0000
```

Properties
**Formation energy from the elements**: -193 meV per atom
**DFT total energy**: -2.86 eV/atom
**Fermi-level density of states**: 0.7749 states/eV per atom
**Crystal system**: tetragonal

=====

(3)
Density functional theory data (PBE) for VSiRh2 after structural relaxation.

Cell and atoms, written as POSCAR:
```
VSiRh2
1.0
5.3353 0.0000 0.0000
0.0000 5.3353 0.0000
0.0000 0.0000 10.8216
V Si Rh
4 4 8
Cartesian
0.0000 0.0000 0.0000
0.0000 2.6677 2.7054
2.6677 0.0000 8.1162
2.6677 2.6677 5.4108
0.0000 0.0000 5.4108
0.0000 2.6677 8.1162
2.6677 0.0000 2.7054
2.6677 2.6677 0.0000
1.2966 1.3338 6.7635
1.3338 3.9643 9.4689
1.3338 4.0387 4.0581
1.3710 1.3338 1.3527
3.9643 4.0015 1.3527
4.0015 1.2966 4.0581
4.0015 1.3710 9.4689
4.0387 4.0015 6.7635
```

Properties
**DFT total energy**: -7.12 eV/atom
**Fermi-level density of states**: 0.6054 states/eV per atom
**ΔE_f (raw)**: 0.19 eV/atom
**Crystal system**: tetragonal

=====

(4)
Density functional theory data (PBE) for Pm2DyUN4 after structural relaxation.

Cell and atoms, written as POSCAR:
```
Pm2DyUN4
1.0
6.0365 0.0000 0.0000
0.0000 3.5280 0.0000
-1.9927 0.0000 5.7832
Pm Dy U N
2 1 1 4
Cartesian
0.0000 0.0000 0.0000
3.0183 1.7640 0.0000
-0.9963 1.7640 2.8916
2.0219 0.0000 2.8916
0.1555 0.0000 4.1638
1.0862 1.7640 1.6326
2.9577 1.7640 4.1506
3.8884 0.0000 1.6193
```

Properties
**DFT total energy**: -8.86 eV/atom
**Fermi-level density of states**: 0.6405 states/eV per atom
**ΔE_f (raw)**: -1.53 eV/atom
**Crystal system**: monoclinic

=====

(5)
Density functional theory data (PBE) for BaLa3Pt after structural relaxation.

Cell and atoms, written as POSCAR:
```
BaLa3Pt
1.0
5.8069 0.0000 0.0000
-2.9034 5.0289 0.0000
0.0000 0.0000 11.4237
Ba La Pt
2 6 2
Cartesian
0.0000 3.3526 2.8559
2.9034 1.6763 8.5678
0.0000 0.0000 2.8559
0.0000 0.0000 8.5678
0.0000 3.3526 6.6640
0.0000 3.3526 10.4716
2.9034 1.6763 0.9522
2.9034 1.6763 4.7597
0.0000 0.0000 0.0000
0.0000 0.0000 5.7119
```

Properties
**Formation energy from the elements**: -237 meV per atom
**Polymorph energy (0 for the lowest one)**: 174 meV per atom
**DFT total energy**: -4.79 eV/atom
**Fermi-level density of states**: 1.9030 states/eV per atom
**Crystal system**: hexagonal